# 1
# K5Hg4

K5Hg4 at its PBEsol-relaxed geometry (meta-GGA SCAN, Alexandria via LeMat-Bulk).

Cell lengths 10.3264, 10.3264, 7.1614 Å; angles 90.00, 90.00, 120.00 degrees
With the nearest neighbours (Å) after each atom.
Space group P6_3/mcm (No. 193)
One atom of each set of equivalent atoms:
K  0.0000  0.2773  0.2500 [6 per cell]  7 Hg 3.38-3.75
K  0.3333  0.6667  0.0000 [4 per cell]  2 K 3.58, 6 Hg 3.67
Hg  0.0000  0.0000  0.0000 [2 per cell]  6 K 3.38, 2 Hg 3.58
Hg  0.0000  0.3852  0.7500 [6 per cell]  9 K 3.49-3.75

## Properties
Calculated volume: 661.35 Å³ per cell
Total DFT energy (no corrections): -632.97 eV/cell
ΔH_f (0 K): -0.242 eV/atom



# 2
# K17Hg12

K17Hg12 at its PBEsol-relaxed geometry (meta-GGA SCAN, Alexandria via LeMat-Bulk).

Cell lengths 12.7951, 12.7951, 12.7951 Å; angles 90.00, 90.00, 90.00 degrees
With the nearest neighbours (Å) after each atom.
Space group I-43m (No. 217)
One atom of each set of equivalent atoms:
K  0.0000  0.0000  0.0000 [2 per cell]  4 K 3.54, 12 Hg 3.74
K  0.0606  0.3589  0.3589 [24 per cell]  7 K 3.60-3.94, 5 Hg 3.70-3.91
K  0.1596  0.1596  0.8404 [8 per cell]  4 K 3.54-3.60, 6 Hg 3.55
Hg  0.0864  0.0864  0.2651 [24 per cell]  3 Hg 3.13-3.23

## Properties
Calculated volume: 2094.73 Å³ per cell
Total DFT energy (no corrections): -1930.17 eV/cell
ΔH_f (0 K): -0.190 eV/atom



# 3
# KHg

KHg at its PBEsol-relaxed geometry (meta-GGA SCAN, Alexandria via LeMat-Bulk).

Cell lengths 4.5016, 5.5704, 10.8896 Å; angles 90.00, 90.00, 90.00 degrees
With the nearest neighbours (Å) after each atom.
Space group Imma (No. 74)
One atom of each set of equivalent atoms:
K  0.0000  0.2500  0.1035 [4 per cell]  4 K 3.58-3.90, 8 Hg 3.64-3.76
Hg  0.0000  0.2500  0.6643 [4 per cell]  2 Hg 2.92

## Properties
Calculated volume: 273.06 Å³ per cell
Total DFT energy (no corrections): -308.39 eV/cell
ΔH_f (0 K): -0.301 eV/atom



# 4
# KHg11

KHg11 at its PBEsol-relaxed geometry (meta-GGA SCAN, Alexandria via LeMat-Bulk).

Cell lengths 9.6580, 9.6580, 9.6580 Å; angles 90.00, 90.00, 90.00 degrees
With the nearest neighbours (Å) after each atom.
Space group Pm-3m (No. 221)
One atom of each set of equivalent atoms:
K  0.0000  0.0000  0.5000 [3 per cell]  20 Hg 3.65-3.95
Hg  0.0000  0.3452  0.3452 [12 per cell]  8 Hg 2.99-3.08
Hg  0.1542  0.1542  0.1542 [8 per cell]  6 Hg 2.98-3.00
Hg  0.2674  0.2674  0.5000 [12 per cell]  9 Hg 3.08-3.18
Hg  0.5000  0.5000  0.5000 [1 per cell]  12 Hg 3.18

## Properties
Calculated volume: 900.86 Å³ per cell
Total DFT energy (no corrections): -2278.43 eV/cell
ΔH_f (0 K): -0.110 eV/atom



# 5
# K3Hg2

K3Hg2 at its PBEsol-relaxed geometry (meta-GGA SCAN, Alexandria via LeMat-Bulk).

Cell lengths 5.7422, 5.7422, 7.1558 Å; angles 90.00, 90.00, 120.00 degrees
With the nearest neighbours (Å) after each atom.
Space group P-3m1 (No. 164)
One atom of each set of equivalent atoms:
K  0.0000  0.0000  0.0000 [1 per cell]  6 Hg 3.45
K  0.3333  0.6667  0.3483 [2 per cell]  5 Hg 3.46-3.69
Hg  0.3333  0.6667  0.8643 [2 per cell]  8 K 3.45-3.69, 3 Hg 3.84

## Properties
Calculated volume: 204.34 Å³ per cell
Total DFT energy (no corrections): -162.48 eV/cell
ΔH_f (0 K): -0.233 eV/atom



# 6
# KHg

KHg at its PBEsol-relaxed geometry (meta-GGA SCAN, Alexandria via LeMat-Bulk).

Cell lengths 5.1920, 5.1920, 12.2631 Å; angles 90.00, 90.00, 120.00 degrees
With the nearest neighbours (Å) after each atom.
Space group P6_3/mmc (No. 194)
One atom of each set of equivalent atoms:
K  0.3333  0.6667  0.0977 [4 per cell]  6 Hg 3.53, 4 K 3.74-3.84
Hg  0.0000  0.0000  0.2500 [2 per cell]  3 Hg 3.00
Hg  0.3333  0.6667  0.7500 [2 per cell]  3 Hg 3.00

## Properties
Calculated volume: 286.29 Å³ per cell
Total DFT energy (no corrections): -308.26 eV/cell
ΔH_f (0 K): -0.285 eV/atom



# 7
# KHg2

KHg2 at its PBEsol-relaxed geometry (meta-GGA SCAN, Alexandria via LeMat-Bulk).

Cell lengths 3.9443, 3.9443, 11.2100 Å; angles 90.00, 90.00, 90.00 degrees
With the nearest neighbours (Å) after each atom.
Space group I4/mmm (No. 139)
One atom of each set of equivalent atoms:
K  0.0000  0.0000  0.0000 [2 per cell]  10 Hg 3.46-3.52
Hg  0.0000  0.0000  0.3089 [4 per cell]  4 Hg 3.09

## Properties
Calculated volume: 174.40 Å³ per cell
Total DFT energy (no corrections): -291.18 eV/cell
ΔH_f (0 K): -0.310 eV/atom



# 8
# KHg4

KHg4 at its PBEsol-relaxed geometry (meta-GGA SCAN, Alexandria via LeMat-Bulk).

Cell lengths 10.3844, 10.3844, 10.3844 Å; angles 90.00, 90.00, 90.00 degrees
With the nearest neighbours (Å) after each atom.
Space group I-43m (No. 217)
One atom of each set of equivalent atoms:
K  0.2132  0.2132  0.7868 [8 per cell]  4 Hg 3.23-3.43
Hg  0.0000  0.0000  0.3472 [12 per cell]  7 Hg 2.95-3.17
Hg  0.0000  0.2500  0.5000 [12 per cell]  4 Hg 3.04
Hg  0.1074  0.1074  0.1074 [8 per cell]  6 Hg 2.95-3.16, 1 K 3.23

## Properties
Calculated volume: 1119.82 Å³ per cell
Total DFT energy (no corrections): -2255.88 eV/cell
ΔH_f (0 K): -0.199 eV/atom